1.
# GGA-PBE Pu2PaAs3, relaxed
data_Pu2PaAs3
_chemical_formula_sum 'Pu4 Pa2 As6'
_space_group_name_H-M_alt 'P 1'
_space_group_IT_number 1
_cell_length_a 4.152
_cell_length_b 5.841
_cell_length_c 12.353
_cell_angle_alpha 90.00
_cell_angle_beta 90.00
_cell_angle_gamma 90.00
loop_
_space_group_symop_operation_xyz
'x,y,z'
loop_
_atom_site_label
_atom_site_type_symbol
_atom_site_fract_x
_atom_site_fract_y
_atom_site_fract_z
Pu1 Pu 0.000 0.000 0.168
Pu2 Pu 0.000 0.000 0.832
Pu3 Pu 0.500 0.500 0.332
Pu4 Pu 0.500 0.500 0.668
Pa1 Pa 0.000 0.000 0.500
Pa2 Pa 0.500 0.500 0.000
As1 As 0.000 0.500 0.163
As2 As 0.000 0.500 0.500
As3 As 0.000 0.500 0.837
As4 As 0.500 0.000 0.000
As5 As 0.500 0.000 0.337
As6 As 0.500 0.000 0.663
# calculated volume: 24.965 Å³ per atom
# total magnetic moment: 22.463 Bohr magnetons per cell
# DFT formation energy: -1054 meV/atom
# final energy: -9.74 eV/atom

=====

2.
# GGA-PBE Pu2PaAs4, relaxed
data_Pu2PaAs4
_chemical_formula_sum 'Pu4 Pa2 As8'
_space_group_name_H-M_alt 'P 1'
_space_group_IT_number 1
_cell_length_a 7.292
_cell_length_b 7.292
_cell_length_c 12.091
_cell_angle_alpha 90.00
_cell_angle_beta 90.00
_cell_angle_gamma 146.76
loop_
_space_group_symop_operation_xyz
'x,y,z'
loop_
_atom_site_label
_atom_site_type_symbol
_atom_site_fract_x
_atom_site_fract_y
_atom_site_fract_z
Pu1 Pu 0.134 0.866 0.562
Pu2 Pu 0.134 0.866 0.938
Pu3 Pu 0.866 0.134 0.062
Pu4 Pu 0.866 0.134 0.438
Pa1 Pa 0.393 0.607 0.750
Pa2 Pa 0.607 0.393 0.250
As1 As 0.023 0.977 0.750
As2 As 0.232 0.768 0.144
As3 As 0.232 0.768 0.356
As4 As 0.500 0.500 0.000
As5 As 0.500 0.500 0.500
As6 As 0.768 0.232 0.644
As7 As 0.768 0.232 0.856
As8 As 0.977 0.023 0.250
# calculated volume: 25.174 Å³ per atom
# total magnetic moment: 22.015 Bohr magnetons per cell
# DFT formation energy: -771 meV/atom
# final energy: -8.88 eV/atom

=====

What is the total magnetic moment in the first record? 22.463 Bohr magnetons per cell

=====

Among the records above, which one has the lowest final energy? Pu2PaAs3

=====

Which formula does entry 2 have? Pu2PaAs4